Sb2RuSe | PBE | optimized geometry

Calculated values
The value obtained for the final energy is -5.301 eV/atom. The calculation puts the density of states at the Fermi level at 0.6045 states/eV per atom. The total moment comes out at 0.0000 μB/atom.

Cell: 3.9521 5.1120 9.2502 Å, 90.00 90.00 90.00°
Space group Amm2 (No. 38)
Symmetry-distinct sites (fractional):
Sb 0.0000 0.0000 0.0000 x2
Sb 0.5000 0.0000 0.3045 x2
Ru 0.5000 0.0000 0.8089 x2
Se 0.0000 0.0000 0.6304 x2

***

SbRuSe2 | PBE | optimized geometry

Calculated values
The value obtained for the final energy is -4.948 eV/atom. The calculation puts the density of states at the Fermi level at 0.7679 states/eV per atom. The total moment comes out at 0.1341 μB/atom.

Cell: 3.1225 3.1225 8.8644 Å, 90.00 90.00 90.00°
Space group P4mm (No. 99)
Symmetry-distinct sites (fractional):
Sb 0.0000 0.0000 0.0000 x1
Ru 0.5000 0.5000 0.7813 x1
Se 0.0000 0.0000 0.6311 x1
Se 0.5000 0.5000 0.2627 x1

***

Sb2RuSe | PBE | optimized geometry

Calculated values
The value obtained for the final energy is -4.744 eV/atom. The calculation puts the density of states at the Fermi level at 0.9764 states/eV per atom. The total moment comes out at 0.0000 μB/atom.

Cell: 3.3877 4.8715 5.0479 Å, 90.00 90.00 90.00°
Space group Pmmm (No. 47)
Symmetry-distinct sites (fractional):
Sb 0.0000 0.0000 0.0000 x1
Sb 0.5000 0.0000 0.5000 x1
Ru 0.0000 0.5000 0.5000 x1
Se 0.5000 0.5000 0.0000 x1

***

SbRuSe2 | PBE | optimized geometry

Calculated values
The value obtained for the final energy is -5.080 eV/atom. The calculation puts the density of states at the Fermi level at 1.0075 states/eV per atom. The total moment comes out at 0.0002 μB/atom.

Cell: 3.4860 3.4860 24.6241 Å, 90.00 90.00 120.00°
Space group R-3m (No. 166, hexagonal axes)
Symmetry-distinct sites (fractional):
Sb 0.0000 0.0000 0.0000 x3
Ru 0.0000 0.0000 0.5000 x3
Se 0.0000 0.0000 0.2275 x6

***

SbRu3Se | PBE | optimized geometry

Calculated values
The value obtained for the final energy is -6.214 eV/atom. The calculation puts the density of states at the Fermi level at 1.4344 states/eV per atom. The total moment comes out at 0.0000 μB/atom. The calculation puts the energy above the most stable polymorph in this dataset at 0.000 eV/atom.

Cell: 4.5813 4.5813 4.5813 Å, 90.00 90.00 90.00°
Space group Pm-3m (No. 221)
Symmetry-distinct sites (fractional):
Sb 0.0000 0.0000 0.0000 x1
Ru 0.0000 0.5000 0.5000 x3
Se 0.5000 0.5000 0.5000 x1

***

SbRu2Se | PBE | optimized geometry

Calculated values
The value obtained for the final energy is -6.508 eV/atom. The calculation puts the density of states at the Fermi level at 1.0324 states/eV per atom. The total moment comes out at 0.0000 μB/atom. The calculation puts the energy above the most stable polymorph in this dataset at 0.000 eV/atom.

Cell: 3.1097 3.9162 5.7040 Å, 90.00 90.00 90.00°
Space group Pmm2 (No. 25)
Symmetry-distinct sites (fractional):
Sb 0.0000 0.0000 0.0000 x1
Ru 0.0000 0.0000 0.5054 x1
Ru 0.5000 0.5000 0.8155 x1
Se 0.5000 0.5000 0.3967 x1

***

Copy entry 1 word for word.
Sb2RuSe | PBE | optimized geometry

Calculated values
The value obtained for the final energy is -5.301 eV/atom. The calculation puts the density of states at the Fermi level at 0.6045 states/eV per atom. The total moment comes out at 0.0000 μB/atom.

Cell: 3.9521 5.1120 9.2502 Å, 90.00 90.00 90.00°
Space group Amm2 (No. 38)
Symmetry-distinct sites (fractional):
Sb 0.0000 0.0000 0.0000 x2
Sb 0.5000 0.0000 0.3045 x2
Ru 0.5000 0.0000 0.8089 x2
Se 0.0000 0.0000 0.6304 x2

***

Number 3 is which compound? Sb2RuSe